The following is a DFT calculation (SCAN) of Hg2RuPb at its PBEsol-relaxed geometry.

The structure in POSCAR format:
```
Hg2RuPb
1.0
-2.0247 2.0247 4.7710
2.0247 -2.0247 4.7710
2.0247 2.0247 -4.7710
Hg Ru Pb
2 1 1
Direct
0.2500 0.7500 0.5000 Hg
0.7500 0.2500 0.5000 Hg
0.0000 0.0000 0.0000 Ru
0.5000 0.5000 0.0000 Pb
```

Results
* size of the total moment: 0.0 μB/f.u.
* formation energy: 511 meV/atom